Compound: Er3WO6
Source: Alexandria
Functional: PBE with a Hubbard U
Structure: optimized geometry

Cell lengths 6.594, 6.594, 6.594 Å; angles 91.99, 91.99, 91.99 degrees
Each line ends with the local moment (μB).
Fractional positions:
Er 0.441 0.932 0.747  0.02
Er 0.932 0.747 0.441  0.02
Er 0.253 0.559 0.068  0.02
Er 0.747 0.441 0.932  0.02
Er 0.068 0.253 0.559  0.02
Er 0.559 0.068 0.253  0.02
W 0.000 0.000 0.000  2.69
W 0.500 0.500 0.500  2.63
O 0.312 0.906 0.071  0.02
O 0.094 0.929 0.688  0.02
O 0.599 0.814 0.469  0.02
O 0.929 0.688 0.094  0.02
O 0.469 0.599 0.814  0.02
O 0.186 0.531 0.401  0.02
O 0.814 0.469 0.599  0.02
O 0.531 0.401 0.186  0.02
O 0.071 0.312 0.906  0.02
O 0.401 0.186 0.531  0.02
O 0.906 0.071 0.312  0.02
O 0.688 0.094 0.929  0.02

The value obtained for the total moment is 3.00 μB/f.u. For the final energy, the calculation gives -8.223 eV per atom. Its crystal system is trigonal.